Record 1
A PBEsol-optimized structure of Y2MnCd. Source: the Alexandria database, functional SCAN.

abc: 5.0915 5.0725 5.0894
angles: 120.11 90.00 120.12
Closest atoms and distances in Å follow each position.
Element x y z (fractional)
Y 0.2501 0.5001 0.2500  4 Mn 3.11, 4 Cd 3.11
Y 0.7499 0.4999 0.7500  4 Mn 3.11, 4 Cd 3.11
Cd 0.0000 0.0000 0.5000  8 Y 3.11
Mn 0.5000 0.0000 0.0000  8 Y 3.11

**Size of the total moment**: 0.992 μB per atom
**E_tot**: -26.360 eV per atom
**Volume**: 93 Å³/f.u.

Record 2
A PBEsol-optimized structure of Y2MnCd. Source: the Alexandria database, functional SCAN.

abc: 4.9665 4.9665 4.9665
angles: 60.00 60.00 60.00
Closest atoms and distances in Å follow each position.
Element x y z (fractional)
Y 0.7500 0.7500 0.7500  4 Cd 3.04, 4 Y 3.04
Y 0.0000 0.0000 0.0000  4 Mn 3.04, 4 Y 3.04
Cd 0.5000 0.5000 0.5000  4 Y 3.04, 4 Mn 3.04
Mn 0.2500 0.2500 0.2500  4 Cd 3.04, 4 Y 3.04

**Size of the total moment**: 0.749 μB per atom
**E_tot**: -26.142 eV per atom
**Volume**: 87 Å³/f.u.

Record 3
A PBEsol-optimized structure of Mn2ZnCd. Source: the Alexandria database, functional SCAN.

abc: 2.8536 4.5551 5.2552
angles: 115.68 105.75 90.00
Closest atoms and distances in Å follow each position.
Element x y z (fractional)
Zn 0.4900 0.4900 0.9801  6 Mn 2.58-2.70, 2 Cd 2.71, 2 Zn 2.85
Mn 0.0126 0.0126 0.0252  4 Mn 2.59-2.85, 4 Zn 2.70, 2 Cd 2.80
Mn 0.7518 0.2518 0.5036  2 Zn 2.58, 4 Mn 2.59-2.85, 4 Cd 2.69
Cd 0.2456 0.7456 0.4911  6 Mn 2.69-2.80, 2 Zn 2.71, 2 Cd 2.85

**Size of the total moment**: 1.784 μB per atom
**E_tot**: -20.078 eV per atom
**Volume**: 59 Å³/f.u.

Record 4
A PBEsol-optimized structure of Mn2ZnCd. Source: the Alexandria database, functional SCAN.

abc: 3.8524 3.8524 4.8517
angles: 113.39 113.39 90.00
Closest atoms and distances in Å follow each position.
Element x y z (fractional)
Mn 0.0000 0.0000 0.0000  4 Zn 2.72, 4 Cd 2.78, 4 Mn 2.78
Mn 0.7500 0.2500 0.5000  4 Cd 2.72, 4 Mn 2.78, 4 Zn 2.78
Cd 0.2500 0.7500 0.5000  8 Mn 2.72-2.78, 4 Zn 2.78
Zn 0.5000 0.5000 0.0000  8 Mn 2.72-2.78, 4 Cd 2.78

**Size of the total moment**: 1.915 μB per atom
**E_tot**: -20.073 eV per atom
**Volume**: 60 Å³/f.u.

Record 5
A PBEsol-optimized structure of Mn2ZnCd. Source: the Alexandria database, functional SCAN.

abc: 2.7790 4.0134 5.5342
angles: 90.00 101.51 90.00
Closest atoms and distances in Å follow each position.
Element x y z (fractional)
Mn 0.9554 0.0000 0.0085  1 Zn 2.45
Mn 0.5616 0.5000 0.2663  4 Zn 2.64-2.68, 2 Cd 2.72-2.92, 6 Mn 2.78-2.82
Cd 0.3567 0.5000 0.7643  2 Zn 2.61, 6 Mn 2.72-2.92, 2 Cd 2.78
Zn 0.1263 0.0000 0.4610  5 Mn 2.45-2.68, 2 Cd 2.61

**Size of the total moment**: 1.857 μB per atom
**E_tot**: -20.090 eV per atom
**Volume**: 60 Å³/f.u.

Record 6
A PBEsol-optimized structure of Zr2MnCd. Source: the Alexandria database, functional SCAN.

abc: 4.1094 4.1094 5.3262
angles: 112.69 112.69 90.00
Closest atoms and distances in Å follow each position.
Element x y z (fractional)
Zr 0.0000 0.0000 0.0000  4 Cd 2.91, 4 Zr 3.03, 4 Mn 3.03
Zr 0.7500 0.2500 0.5000  4 Mn 2.91, 4 Cd 3.03, 4 Zr 3.03
Cd 0.5000 0.5000 0.0000  8 Zr 2.91-3.03, 4 Mn 3.03
Mn 0.2500 0.7500 0.5000  8 Zr 2.91-3.03, 4 Cd 3.03

**Size of the total moment**: 0.627 μB per atom
**E_tot**: -27.589 eV per atom
**Volume**: 75 Å³/f.u.

Record 7
A PBEsol-optimized structure of Zr2MnCd. Source: the Alexandria database, functional SCAN.

abc: 3.1818 4.7127 5.6745
angles: 114.54 106.28 90.00
Closest atoms and distances in Å follow each position.
Element x y z (fractional)
Zr 0.9579 0.4579 0.9158  2 Mn 2.53
Zr 0.7493 0.7493 0.4986  4 Mn 2.84, 4 Zr 3.12-3.18, 2 Cd 3.16
Mn 0.2573 0.2573 0.5145  2 Zr 2.53, 2 Cd 2.70
Cd 0.5355 0.0355 0.0710  2 Mn 2.70, 4 Zr 2.94

**Size of the total moment**: 0.396 μB per atom
**E_tot**: -27.488 eV per atom
**Volume**: 74 Å³/f.u.

Record 8
A PBEsol-optimized structure of ZrMnCd3. Source: the Alexandria database, functional SCAN.

abc: 5.4050 5.4050 5.4050
angles: 90.00 90.00 90.00
Closest atoms and distances in Å follow each position.
Element x y z (fractional)
Cd 0.5000 0.0000 0.0000  2 Zr 2.70
Cd 0.0000 0.0000 0.5000  2 Zr 2.70
Cd 0.0000 0.5000 0.0000  2 Zr 2.70
Zr 0.0000 0.0000 0.0000  6 Cd 2.70
Mn 0.5000 0.5000 0.5000  12 Cd 3.82

**Size of the total moment**: 0.455 μB per atom
**E_tot**: -26.954 eV per atom
**Volume**: 158 Å³/f.u.

> The lowest E_tot belongs to which entry?

number 6